Entry 1:
Compound: Sr7Sn3H2
Source: Alexandria via LeMat-Bulk
Functional: PBE-GGA
Structure: relaxed

Cell lengths 4.9198, 5.3103, 14.4947 Å; angles 100.55, 90.00, 90.00 degrees
Positions (direct):
Sr  0.0000  0.4008  0.8016
Sr  0.0000  0.7920  0.5841
Sr  0.0000  0.0000  0.0000
Sr  0.0000  0.5992  0.1984
Sr  0.5000  0.1003  0.2006
Sr  0.5000  0.8997  0.7994
Sr  0.0000  0.2080  0.4159
Sn  0.5000  0.5000  0.0000
Sn  0.5000  0.6817  0.3635
Sn  0.5000  0.3183  0.6365
H  0.0000  0.9107  0.8214
H  0.0000  0.0893  0.1786

Computed properties:
The symmetry is Cmmm.

Entry 2:
Compound: ZrAg3Au
Source: Alexandria via LeMat-Bulk
Functional: PBE-GGA
Structure: relaxed

Cell lengths 5.0491, 5.0491, 5.0491 Å; angles 90.00, 90.00, 90.00 degrees
Positions (direct):
Au  0.0000  0.0000  0.0000
Zr  0.5000  0.5000  0.5000
Ag  0.0000  0.5000  0.0000
Ag  0.0000  0.0000  0.5000
Ag  0.5000  0.0000  0.0000

Computed properties:
For the offset from the most stable computed form, the calculation gives 0.000 eV per atom. The value obtained for the formation energy is 847 meV/atom. The symmetry is Pm-3m.

no.,VASP energy (eV/atom),calculated volume (A^3/atom)
1,-3.01,31.0
2,-3.23,25.7